## CdCuPt2 (GGA-PBE)

Data for a relaxed CdCuPt2 crystal.

a = 2.9028 Å, b = 3.6897 Å, c = 5.9055 Å
α = 90.00°, β = 90.17°, γ = 90.00°
Closest atoms and distances in Å follow each position.
Space group P2/m (No. 10)
Unique sites:
Cd: 0.0000 0.0000 0.0000  8 Pt 2.84, 2 Cd 2.90, 2 Cu 2.95
Cu: 0.0000 0.0000 0.5000  8 Pt 2.71-2.72, 2 Cu 2.90, 2 Cd 2.95
Pt: 0.4988 0.5000 0.7301  4 Cu 2.71-2.72, 3 Pt 2.72-2.90, 4 Cd 2.84

Results
Magnetic moment in μB per cell: 0.00
Formation energy in kJ/mol of formula units: -82
DOS at the Fermi energy in states/eV/cell: 1.5

=====

## SrGaAs2O8 (GGA-PBE)

Data for a relaxed SrGaAs2O8 crystal.

a = 4.9910 Å, b = 4.9910 Å, c = 21.9166 Å
α = 90.00°, β = 90.00°, γ = 120.00°
Closest atoms and distances in Å follow each position.
Space group R-3 (No. 148, hexagonal axes)
Unique sites:
Sr: 0.0000 0.0000 0.0000  12 O 2.90-3.01
Ga: 0.0000 0.0000 0.5000  6 O 2.00
As: 0.0000 0.0000 0.2396  4 O 1.72-1.73
O: 0.0000 0.0000 0.3185  1 As 1.73
O: 0.0050 0.6792 0.4462  1 As 1.72

Results
Raw formation energy in eV/atom: -1.52
Magnetic moment in μB per cell: 3.34
DOS at the Fermi energy in states/eV/cell: 29.9

=====

## GeCl3F2 (GGA-PBE)

Data for a relaxed GeCl3F2 crystal.

a = 5.6133 Å, b = 7.2739 Å, c = 9.4990 Å
α = 75.39°, β = 75.66°, γ = 80.19°
Closest atoms and distances in Å follow each position.
Space group P-1 (No. 2)
Unique sites:
Ge: 0.1397 0.3222 0.2577  2 F 1.72-1.73
Cl: 0.0279 0.9274 0.7300  1 Ge 2.15
Cl: 0.1024 0.4286 0.7966  1 Ge 2.11
Cl: 0.3704 0.8250 0.3368  1 Cl 2.72
F: 0.2209 0.3058 0.4242  1 Ge 1.72
F: 0.4125 0.3225 0.1251  1 Ge 1.73

Results
Raw formation energy in eV/atom: -1.17
Magnetic moment in μB per cell: 2.03

=====

## Sm8Te4PPt3 (GGA-PBE)

Data for a relaxed Sm8Te4PPt3 crystal.

a = 8.4766 Å, b = 8.4766 Å, c = 22.0823 Å
α = 90.00°, β = 90.00°, γ = 120.00°
Closest atoms and distances in Å follow each position.
Space group R-3m (No. 166, hexagonal axes)
Unique sites:
Sm: 0.0000 0.0000 0.2374  3 Pt 2.90, 3 Te 3.24
Sm: 0.0002 0.5001 0.2387  1 P 2.92, 2 Pt 2.92, 3 Te 3.22
Te: 0.0000 0.0000 0.0000  6 Sm 3.22
Te: 0.0000 0.5000 0.0000  6 Sm 3.22-3.24
P: 0.0000 0.0000 0.5000  6 Sm 2.92
Pt: 0.0000 0.5000 0.5000  6 Sm 2.90-2.92

Results
Raw formation energy in eV/atom: -1.31
Magnetic moment in μB per cell: 0.00
DOS at the Fermi energy in states/eV/cell: 34.9

=====

## Mg3PN (GGA-PBE)

Data for a relaxed Mg3PN crystal.

a = 3.3706 Å, b = 7.5339 Å, c = 7.0055 Å
α = 90.00°, β = 90.00°, γ = 90.00°
Closest atoms and distances in Å follow each position.
Space group Amm2 (No. 38)
Unique sites:
Mg: 0.0000 0.0000 0.0000  1 N 2.01
Mg: 0.5000 0.1700 0.3448  2 N 2.15
P: 0.5000 0.0000 0.7375  4 Mg 2.49-2.60
N: 0.0000 0.0000 0.2874  5 Mg 2.01-2.15

Results
Polymorph energy (0 for the lowest one) in meV per atom: 392.1
Raw formation energy in eV/atom: -0.35
Magnetic moment in μB per cell: 0.00
DOS at the Fermi energy in states/eV/cell: 0.8

=====

## Ac5LaPr2 (GGA-PBE)

Data for a relaxed Ac5LaPr2 crystal.

a = 5.8508 Å, b = 12.6970 Å, c = 18.1642 Å
α = 90.00°, β = 90.00°, γ = 90.00°
Closest atoms and distances in Å follow each position.
Space group Cmcm (No. 63)
Unique sites:
Ac: 0.0000 0.0105 0.2500  1 La 3.45, 2 Pr 3.69
Ac: 0.0000 0.1425 0.5429  3 Pr 3.68-3.71, 6 Ac 3.94-4.07, 1 La 4.05
Ac: 0.0000 0.4467 0.5999  1 La 3.60, 3 Pr 3.83-4.00, 6 Ac 3.87-4.04
La: 0.0000 0.2610 0.7500  3 Ac 3.45-3.60, 4 Pr 3.51
Pr: 0.0000 0.2585 0.1443  2 La 3.51, 5 Ac 3.68-3.83, 1 Pr 3.84

Results
Magnetic moment in μB per cell: 0.00
Formation energy in kJ/mol of formula units: 75
DOS at the Fermi energy in states/eV/cell: 47.9

=====

## Li3In3Ag2 (GGA-PBE)

Data for a relaxed Li3In3Ag2 crystal.

a = 7.4213 Å, b = 7.4213 Å, c = 9.8066 Å
α = 90.00°, β = 90.00°, γ = 120.00°
Closest atoms and distances in Å follow each position.
Space group R32 (No. 155, hexagonal axes)
Unique sites:
Li: 0.0000 0.2477 0.0000  2 In 2.69, 4 Ag 2.98-3.02
In: 0.0000 0.7470 0.5000  2 Li 2.69, 2 Ag 2.92
Ag: 0.0000 0.0000 0.2439  6 In 2.92-3.14, 6 Li 2.98-3.02

Results
Polymorph energy (0 for the lowest one) in meV per atom: 24.9
Magnetic moment in μB per cell: 0.00
Formation energy in kJ/mol of formula units: -155
DOS at the Fermi energy in states/eV/cell: 5.7

=====

## Ca2GaHgO5 (GGA-PBE)

Data for a relaxed Ca2GaHgO5 crystal.

a = 3.3032 Å, b = 14.8293 Å, c = 9.7331 Å
α = 90.00°, β = 90.00°, γ = 90.00°
Closest atoms and distances in Å follow each position.
Space group Cmc2_1 (No. 36)
Unique sites:
Ca: 0.0000 0.1172 0.0000  7 O 2.42-2.66
Ca: 0.0000 0.1188 0.5909  6 O 2.45-2.53
Ga: 0.0000 0.4901 0.7876  4 O 1.85-1.90
Hg: 0.0000 0.2174 0.3018  4 O 2.22-2.25
O: 0.0000 0.0492 0.3628  2 Ga 1.90
O: 0.0000 0.2820 0.6495  2 Hg 2.22
O: 0.0000 0.2857 0.9585  2 Hg 2.25
O: 0.0000 0.3851 0.3176  1 Ga 1.87
O: 0.0000 0.4898 0.5971  1 Ga 1.85

Results
Raw formation energy in eV/atom: -1.81
Magnetic moment in μB per cell: 2.89
DOS at the Fermi energy in states/eV/cell: 5.4

=====

## NbReIr (GGA-PBE)

Data for a relaxed NbReIr crystal.

a = 4.4815 Å, b = 5.4677 Å, c = 7.8398 Å
α = 90.00°, β = 90.00°, γ = 90.00°
Closest atoms and distances in Å follow each position.
Space group Immm (No. 71)
Unique sites:
Nb: 0.0000 0.0000 0.1727  4 Re 2.60-2.74, 1 Nb 2.71, 2 Ir 2.90
Re: 0.0000 0.5000 0.1593  1 Re 2.50, 4 Nb 2.60-2.74
Ir: 0.0000 0.2475 0.5000  2 Ir 2.71-2.76, 6 Re 2.90-3.01, 6 Nb 2.90-2.96

Results
Magnetic moment in μB per cell: 0.00
Formation energy in kJ/mol of formula units: 4
DOS at the Fermi energy in states/eV/cell: 8.3

=====

## Tb6SmEr (GGA-PBE)

Data for a relaxed Tb6SmEr crystal.

a = 9.9396 Å, b = 6.8641 Å, c = 8.4879 Å
α = 90.00°, β = 103.93°, γ = 90.00°
Closest atoms and distances in Å follow each position.
Space group C2/m (No. 12)
Unique sites:
Tb: 0.1287 0.0000 0.4257  3 Tb 3.11-3.42
Tb: 0.1950 0.2378 0.8019  5 Tb 3.26-3.60, 1 Sm 3.34, 2 Er 3.38-3.50
Sm: 0.0000 0.5000 0.5000  6 Tb 3.34-3.59
Er: 0.0000 0.5000 0.0000  8 Tb 3.38-3.50

Results
Polymorph energy (0 for the lowest one) in meV per atom: 349.3
Magnetic moment in μB per cell: 0.00
Formation energy in kJ/mol of formula units: 285
DOS at the Fermi energy in states/eV/cell: 22.5

=====

## PmY5Er5 (GGA-PBE)

Data for a relaxed PmY5Er5 crystal.

a = 6.8254 Å, b = 6.9501 Å, c = 8.3022 Å
α = 76.04°, β = 77.50°, γ = 72.82°
Closest atoms and distances in Å follow each position.
Space group P-1 (No. 2)
Unique sites:
Pm: 0.0000 0.0000 0.0000  6 Y 3.38-3.72, 6 Er 3.41-3.74
Y: 0.0000 0.5000 0.0000  2 Pm 3.48, 4 Y 3.49-3.66, 4 Er 3.56-3.68
Y: 0.3306 0.2630 0.6533  5 Er 3.26-3.53, 3 Y 3.38-3.57
Y: 0.3574 0.7417 0.7232  4 Y 3.38-3.57, 1 Pm 3.38, 5 Er 3.39-3.74
Er: 0.1568 0.1292 0.3575  6 Y 3.36-3.75, 5 Er 3.38-3.57, 1 Pm 3.74
Er: 0.1995 0.6376 0.3224  5 Y 3.37-3.68, 1 Pm 3.41, 3 Er 3.42-3.57
Er: 0.5000 0.0000 0.0000  2 Y 3.26, 2 Pm 3.41, 2 Er 3.48

Results
Polymorph energy (0 for the lowest one) in meV per atom: 0.0
Magnetic moment in μB per cell: 0.00
Formation energy in kJ/mol of formula units: 157
DOS at the Fermi energy in states/eV/cell: 15.0

=====

## CePuScRu (GGA-PBE)

Data for a relaxed CePuScRu crystal.

a = 6.9582 Å, b = 6.9582 Å, c = 6.9582 Å
α = 90.00°, β = 90.00°, γ = 90.00°
Closest atoms and distances in Å follow each position.
Space group F-43m (No. 216)
Unique sites:
Ce: 0.0000 0.0000 0.0000  4 Ru 3.01, 4 Pu 3.01
Pu: 0.2500 0.2500 0.7500  4 Ce 3.01, 4 Sc 3.01
Sc: 0.0000 0.0000 0.5000  4 Ru 3.01, 4 Pu 3.01
Ru: 0.2500 0.2500 0.2500  4 Ce 3.01, 4 Sc 3.01

Results
Magnetic moment in μB per cell: 28.77
Formation energy in kJ/mol of formula units: -12
DOS at the Fermi energy in states/eV/cell: 39.3